(1)
Density functional theory data (GGA-PBE) for a relaxed Ca2NbTl2 crystal.

Cell lengths 4.2674, 4.2674, 17.6231 Å; angles 90.00, 90.00, 90.00 degrees
Atoms (fractional coordinates):
Ca  0.0000  0.0000  0.0949
Ca  0.0000  0.0000  0.9051
Ca  0.5000  0.5000  0.4051
Ca  0.5000  0.5000  0.5949
Nb  0.0000  0.0000  0.5000
Nb  0.5000  0.5000  0.0000
Tl  0.0000  0.5000  0.2500
Tl  0.0000  0.5000  0.7500
Tl  0.5000  0.0000  0.2500
Tl  0.5000  0.0000  0.7500

**V**: 321 Å³/cell
**Space-group type**: No. 139
**Calculated formation energy**: 13.275 kcal/mol of atoms
**DOS(E_F)**: 4.035 states/eV/f.u.
**Distance to the lowest polymorph of the same formula**: 80 kJ/mol of formula units
**VASP energy**: -0.11706 hartree per atom

(2)
Density functional theory data (GGA-PBE) for a relaxed Ca2NbTl2 crystal.

Cell lengths 9.0102, 9.0102, 3.3512 Å; angles 90.00, 90.00, 90.00 degrees
Atoms (fractional coordinates):
Ca  0.1325  0.3675  0.0000
Ca  0.3675  0.8675  0.0000
Ca  0.6325  0.1325  0.0000
Ca  0.8675  0.6325  0.0000
Nb  0.0000  0.0000  0.0000
Nb  0.5000  0.5000  0.0000
Tl  0.1672  0.6672  0.5000
Tl  0.3328  0.1672  0.5000
Tl  0.6672  0.8328  0.5000
Tl  0.8328  0.3328  0.5000

**V**: 272 Å³/cell
**Space-group type**: No. 127
**Calculated formation energy**: 9.466 kcal/mol of atoms
**DOS(E_F)**: 2.760 states/eV/f.u.
**Distance to the lowest polymorph of the same formula**: 0 kJ/mol of formula units
**VASP energy**: -0.12313 hartree per atom

(3)
Density functional theory data (GGA-PBE) for a relaxed CaNbTl2 crystal.

Cell lengths 4.7681, 4.7681, 20.4668 Å; angles 90.00, 90.00, 90.00 degrees
Atoms (fractional coordinates):
Ca  0.0000  0.0000  0.0000
Ca  0.0000  0.5000  0.2500
Ca  0.5000  0.0000  0.7500
Ca  0.5000  0.5000  0.5000
Nb  0.0000  0.0000  0.5000
Nb  0.0000  0.5000  0.7500
Nb  0.5000  0.0000  0.2500
Nb  0.5000  0.5000  0.0000
Tl  0.2001  0.2500  0.6250
Tl  0.2500  0.7001  0.8750
Tl  0.2500  0.7999  0.3750
Tl  0.2999  0.2500  0.1250
Tl  0.7001  0.7500  0.1250
Tl  0.7500  0.2001  0.3750
Tl  0.7500  0.2999  0.8750
Tl  0.7999  0.7500  0.6250

**V**: 465 Å³/cell
**Space-group type**: No. 122
**Calculated formation energy**: 13.796 kcal/mol of atoms
**DOS(E_F)**: 1.979 states/eV/f.u.
**VASP energy**: -0.13240 hartree per atom

(4)
Density functional theory data (GGA-PBE) for a relaxed Ca3NbTl crystal.

Cell lengths 5.6114, 5.6114, 5.6114 Å; angles 90.00, 90.00, 90.00 degrees
Atoms (fractional coordinates):
Ca  0.0000  0.0000  0.5000
Ca  0.0000  0.5000  0.0000
Ca  0.5000  0.0000  0.0000
Nb  0.0000  0.0000  0.0000
Tl  0.5000  0.5000  0.5000

**V**: 177 Å³/cell
**Space-group type**: No. 221
**Calculated formation energy**: 17.837 kcal/mol of atoms
**DOS(E_F)**: 3.306 states/eV/f.u.
**Distance to the lowest polymorph of the same formula**: 0 kJ/mol of formula units
**VASP energy**: -0.10711 hartree per atom